Entry 1:
VASP calculation (GGA-PBE) on crystalline Pm3SbPN at its relaxed geometry.

The structure in CIF format:
```
data_Pm3SbPN
_chemical_formula_sum 'Pm6 Sb2 P2 N2'
_cell_length_a 8.7991
_cell_length_b 4.1961
_cell_length_c 9.4219
_cell_angle_alpha 90.00
_cell_angle_beta 102.32
_cell_angle_gamma 90.00
_space_group_name_H-M_alt 'P 1 21/m 1'
_space_group_IT_number 11
loop_
_space_group_symop_operation_xyz
'x,y,z'
'-x,-y,-z'
'-x,y+1/2,-z'
'x,-y+1/2,z'
loop_
_atom_site_label
_atom_site_type_symbol
_atom_site_fract_x
_atom_site_fract_y
_atom_site_fract_z
_atom_site_occupancy
Pm1 Pm 0.0746 0.2500 0.3493 1
Pm2 Pm 0.3381 0.2500 0.9830 1
Pm3 Pm 0.3876 0.7500 0.6603 1
Sb1 Sb 0.3172 0.7500 0.2808 1
P1 P 0.1528 0.2500 0.6523 1
N1 N 0.4081 0.7500 0.8991 1
```

ΔE_f (raw) in eV per formula unit: -7.66
Total magnetization in μB/f.u.: 0.0
Calculated volume in Å³ per cell: 340



Entry 2:
VASP calculation (GGA-PBE) on crystalline Pm2ScP2N6 at its relaxed geometry.

The structure in CIF format:
```
data_Pm2ScP2N6
_chemical_formula_sum 'Pm6 Sc3 P6 N18'
_cell_length_a 5.5030
_cell_length_b 5.5030
_cell_length_c 16.7307
_cell_angle_alpha 90.00
_cell_angle_beta 90.00
_cell_angle_gamma 120.00
_space_group_name_H-M_alt 'R -3 m'
_space_group_IT_number 166
_space_group_name_Hall '-R 3 2"'
loop_
_atom_site_label
_atom_site_type_symbol
_atom_site_fract_x
_atom_site_fract_y
_atom_site_fract_z
_atom_site_occupancy
Pm1 Pm 0.0000 0.0000 0.2106 1
Sc1 Sc 0.0000 0.0000 0.0000 1
P1 P 0.0000 0.0000 0.4084 1
N1 N 0.0029 0.5015 0.2441 1
```

ΔE_f (raw) in eV per formula unit: -10.74
Total magnetization in μB/f.u.: 1.0
Calculated volume in Å³ per cell: 439



Entry 3:
VASP calculation (GGA-PBE) on crystalline Pm8P3Se3N at its relaxed geometry.

The structure in CIF format:
```
data_Pm8P3Se3N
_chemical_formula_sum 'Pm24 P9 Se9 N3'
_cell_length_a 8.1277
_cell_length_b 8.1277
_cell_length_c 20.6211
_cell_angle_alpha 90.00
_cell_angle_beta 90.00
_cell_angle_gamma 120.00
_space_group_name_H-M_alt 'R -3 m'
_space_group_IT_number 166
_space_group_name_Hall '-R 3 2"'
loop_
_atom_site_label
_atom_site_type_symbol
_atom_site_fract_x
_atom_site_fract_y
_atom_site_fract_z
_atom_site_occupancy
Pm1 Pm 0.0000 0.0000 0.2429 1
Pm2 Pm 0.0286 0.5143 0.2374 1
P1 P 0.0000 0.5000 0.5000 1
Se1 Se 0.0000 0.5000 0.0000 1
N1 N 0.0000 0.0000 0.5000 1
```

ΔE_f (raw) in eV per formula unit: -23.34
Total magnetization in μB/f.u.: 1.1
Calculated volume in Å³ per cell: 1180



Entry 4:
VASP calculation (GGA-PBE) on crystalline Pm4PSe2N at its relaxed geometry.

The structure in CIF format:
```
data_Pm4PSe2N
_chemical_formula_sum 'Pm4 P1 Se2 N1'
_cell_length_a 6.9092
_cell_length_b 3.9824
_cell_length_c 7.1901
_cell_angle_alpha 90.00
_cell_angle_beta 108.64
_cell_angle_gamma 90.00
_space_group_name_H-M_alt 'P 1 2/m 1'
_space_group_IT_number 10
loop_
_space_group_symop_operation_xyz
'x,y,z'
'-x,-y,-z'
'-x,y,-z'
'x,-y,z'
loop_
_atom_site_label
_atom_site_type_symbol
_atom_site_fract_x
_atom_site_fract_y
_atom_site_fract_z
_atom_site_occupancy
Pm1 Pm 0.2204 0.0000 0.2097 1
Pm2 Pm 0.2396 0.5000 0.7825 1
P1 P 0.5000 0.0000 0.0000 1
Se1 Se 0.0000 0.0000 0.5000 1
Se2 Se 0.5000 0.5000 0.5000 1
N1 N 0.0000 0.5000 0.0000 1
```

ΔE_f (raw) in eV per formula unit: -13.30
Total magnetization in μB/f.u.: 0.0
Calculated volume in Å³ per cell: 187



Entry 5:
VASP calculation (GGA-PBE) on crystalline Pm8P3Se4N at its relaxed geometry.

The structure in CIF format:
```
data_Pm8P3Se4N
_chemical_formula_sum 'Pm24 P9 Se12 N3'
_cell_length_a 8.1310
_cell_length_b 8.1310
_cell_length_c 20.5890
_cell_angle_alpha 90.00
_cell_angle_beta 90.00
_cell_angle_gamma 120.00
_space_group_name_H-M_alt 'R -3 m'
_space_group_IT_number 166
_space_group_name_Hall '-R 3 2"'
loop_
_atom_site_label
_atom_site_type_symbol
_atom_site_fract_x
_atom_site_fract_y
_atom_site_fract_z
_atom_site_occupancy
Pm1 Pm 0.0000 0.0000 0.2435 1
Pm2 Pm 0.0185 0.5092 0.2394 1
P1 P 0.0000 0.5000 0.5000 1
Se1 Se 0.0000 0.0000 0.0000 1
Se2 Se 0.0000 0.5000 0.0000 1
N1 N 0.0000 0.0000 0.5000 1
```

ΔE_f (raw) in eV per formula unit: -27.44
Total magnetization in μB/f.u.: 0.0
Calculated volume in Å³ per cell: 1179



Entry 6:
VASP calculation (GGA-PBE) on crystalline Pm3PSeN at its relaxed geometry.

The structure in CIF format:
```
data_Pm3PSeN
_chemical_formula_sum 'Pm6 P2 Se2 N2'
_cell_length_a 8.4779
_cell_length_b 4.0707
_cell_length_c 9.2806
_cell_angle_alpha 90.00
_cell_angle_beta 99.94
_cell_angle_gamma 90.00
_space_group_name_H-M_alt 'P 1 21/m 1'
_space_group_IT_number 11
loop_
_space_group_symop_operation_xyz
'x,y,z'
'-x,-y,-z'
'-x,y+1/2,-z'
'x,-y+1/2,z'
loop_
_atom_site_label
_atom_site_type_symbol
_atom_site_fract_x
_atom_site_fract_y
_atom_site_fract_z
_atom_site_occupancy
Pm1 Pm 0.0830 0.2500 0.3468 1
Pm2 Pm 0.3275 0.2500 0.9833 1
Pm3 Pm 0.3905 0.7500 0.6576 1
P1 P 0.1524 0.2500 0.6533 1
Se1 Se 0.3290 0.7500 0.2970 1
N1 N 0.4104 0.7500 0.8993 1
```

ΔE_f (raw) in eV per formula unit: -9.03
Total magnetization in μB/f.u.: 0.0
Calculated volume in Å³ per cell: 315



Entry 7:
VASP calculation (GGA-PBE) on crystalline PmSiP2N6 at its relaxed geometry.

The structure in CIF format:
```
data_PmSiP2N6
_chemical_formula_sum 'Pm4 Si4 P8 N24'
_cell_length_a 10.0283
_cell_length_b 9.8268
_cell_length_c 5.6721
_cell_angle_alpha 90.00
_cell_angle_beta 115.35
_cell_angle_gamma 90.00
_space_group_name_H-M_alt 'C 1 2/c 1'
_space_group_IT_number 15
loop_
_space_group_symop_operation_xyz
'x,y,z'
'-x,-y,-z'
'-x,y,-z+1/2'
'x,-y,z+1/2'
'x+1/2,y+1/2,z'
'-x+1/2,-y+1/2,-z'
'-x+1/2,y+1/2,-z+1/2'
'x+1/2,-y+1/2,z+1/2'
loop_
_atom_site_label
_atom_site_type_symbol
_atom_site_fract_x
_atom_site_fract_y
_atom_site_fract_z
_atom_site_occupancy
Pm1 Pm 0.0000 0.1292 0.2500 1
Si1 Si 0.0000 0.2278 0.7500 1
P1 P 0.2047 0.4247 0.1713 1
N1 N 0.0902 0.3015 0.0454 1
N2 N 0.1192 0.1117 0.7104 1
N3 N 0.1913 0.4605 0.4478 1
```

ΔE_f (raw) in eV per formula unit: -6.32
Total magnetization in μB/f.u.: 0.0
Calculated volume in Å³ per cell: 505



Entry 8:
VASP calculation (GGA-PBE) on crystalline Pm2SmP2N6 at its relaxed geometry.

The structure in CIF format:
```
data_Pm2SmP2N6
_chemical_formula_sum 'Pm4 Sm2 P4 N12'
_cell_length_a 9.6883
_cell_length_b 5.5752
_cell_length_c 6.6387
_cell_angle_alpha 90.00
_cell_angle_beta 119.45
_cell_angle_gamma 90.00
_space_group_name_H-M_alt 'C 1 2/m 1'
_space_group_IT_number 12
loop_
_space_group_symop_operation_xyz
'x,y,z'
'-x,-y,-z'
'-x,y,-z'
'x,-y,z'
'x+1/2,y+1/2,z'
'-x+1/2,-y+1/2,-z'
'-x+1/2,y+1/2,-z'
'x+1/2,-y+1/2,z'
loop_
_atom_site_label
_atom_site_type_symbol
_atom_site_fract_x
_atom_site_fract_y
_atom_site_fract_z
_atom_site_occupancy
Pm1 Pm 0.2040 0.0000 0.1765 1
Sm1 Sm 0.0000 0.0000 0.5000 1
P1 P 0.0397 0.5000 0.2630 1
N1 N 0.0590 0.2566 0.8312 1
N2 N 0.2268 0.5000 0.3813 1
```

ΔE_f (raw) in eV per formula unit: -10.89
Total magnetization in μB/f.u.: 0.0
Calculated volume in Å³ per cell: 312



Entry 9:
VASP calculation (GGA-PBE) on crystalline Pm2SnPN5 at its relaxed geometry.

The structure in CIF format:
```
data_Pm2SnPN5
_chemical_formula_sum 'Pm8 Sn4 P4 N20'
_cell_length_a 3.1962
_cell_length_b 15.0847
_cell_length_c 10.0806
_cell_angle_alpha 90.00
_cell_angle_beta 90.00
_cell_angle_gamma 90.00
_space_group_name_H-M_alt 'C m c 21'
_space_group_IT_number 36
loop_
_space_group_symop_operation_xyz
'x,y,z'
'-x,-y,z+1/2'
'-x,y,z'
'x,-y,z+1/2'
'x+1/2,y+1/2,z'
'-x+1/2,-y+1/2,z+1/2'
'-x+1/2,y+1/2,z'
'x+1/2,-y+1/2,z+1/2'
loop_
_atom_site_label
_atom_site_type_symbol
_atom_site_fract_x
_atom_site_fract_y
_atom_site_fract_z
_atom_site_occupancy
Pm1 Pm 0.0000 0.1154 0.0000 1
Pm2 Pm 0.0000 0.1211 0.6468 1
Sn1 Sn 0.0000 0.2107 0.3603 1
P1 P 0.0000 0.4502 0.7535 1
N1 N 0.0000 0.0256 0.3344 1
N2 N 0.0000 0.2926 0.0062 1
N3 N 0.0000 0.3416 0.7240 1
N4 N 0.0000 0.3479 0.3303 1
N5 N 0.0000 0.4991 0.6110 1
```

ΔE_f (raw) in eV per formula unit: -5.82
Total magnetization in μB/f.u.: 0.0
Calculated volume in Å³ per cell: 486



Entry 10:
VASP calculation (GGA-PBE) on crystalline Sr2PmP2N6 at its relaxed geometry.

The structure in CIF format:
```
data_Sr2PmP2N6
_chemical_formula_sum 'Sr6 Pm3 P6 N18'
_cell_length_a 5.7709
_cell_length_b 5.7709
_cell_length_c 18.7551
_cell_angle_alpha 90.00
_cell_angle_beta 90.00
_cell_angle_gamma 120.00
_space_group_name_H-M_alt 'R -3 m'
_space_group_IT_number 166
_space_group_name_Hall '-R 3 2"'
loop_
_atom_site_label
_atom_site_type_symbol
_atom_site_fract_x
_atom_site_fract_y
_atom_site_fract_z
_atom_site_occupancy
Sr1 Sr 0.0000 0.0000 0.2019 1
Pm1 Pm 0.0000 0.0000 0.0000 1
P1 P 0.0000 0.0000 0.4209 1
N1 N 0.0179 0.5090 0.2443 1
```

ΔE_f (raw) in eV per formula unit: -8.84
Total magnetization in μB/f.u.: 0.0
Calculated volume in Å³ per cell: 541



Entry 11:
VASP calculation (GGA-PBE) on crystalline PmTc2PN at its relaxed geometry.

The structure in CIF format:
```
data_PmTc2PN
_chemical_formula_sum 'Pm4 Tc8 P4 N4'
_cell_length_a 3.7799
_cell_length_b 11.1801
_cell_length_c 7.2177
_cell_angle_alpha 90.00
_cell_angle_beta 90.00
_cell_angle_gamma 90.00
_space_group_name_H-M_alt 'C m c m'
_space_group_IT_number 63
_space_group_name_Hall '-C 2c 2'
loop_
_atom_site_label
_atom_site_type_symbol
_atom_site_fract_x
_atom_site_fract_y
_atom_site_fract_z
_atom_site_occupancy
Pm1 Pm 0.0000 0.0430 0.2500 1
Tc1 Tc 0.0000 0.3316 0.0594 1
P1 P 0.0000 0.2326 0.7500 1
N1 N 0.0000 0.5000 0.0000 1
```

ΔE_f (raw) in eV per formula unit: -4.18
Total magnetization in μB/f.u.: 0.0
Calculated volume in Å³ per cell: 305



Entry 12:
VASP calculation (GGA-PBE) on crystalline PmTcP2N6 at its relaxed geometry.

The structure in CIF format:
```
data_PmTcP2N6
_chemical_formula_sum 'Pm4 Tc4 P8 N24'
_cell_length_a 9.2622
_cell_length_b 10.2994
_cell_length_c 4.8913
_cell_angle_alpha 90.00
_cell_angle_beta 97.89
_cell_angle_gamma 90.00
_space_group_name_H-M_alt 'C 1 2/c 1'
_space_group_IT_number 15
loop_
_space_group_symop_operation_xyz
'x,y,z'
'-x,-y,-z'
'-x,y,-z+1/2'
'x,-y,z+1/2'
'x+1/2,y+1/2,z'
'-x+1/2,-y+1/2,-z'
'-x+1/2,y+1/2,-z+1/2'
'x+1/2,-y+1/2,z+1/2'
loop_
_atom_site_label
_atom_site_type_symbol
_atom_site_fract_x
_atom_site_fract_y
_atom_site_fract_z
_atom_site_occupancy
Pm1 Pm 0.0000 0.1052 0.2500 1
Tc1 Tc 0.0000 0.2828 0.7500 1
P1 P 0.1995 0.4238 0.2773 1
N1 N 0.1002 0.3118 0.1049 1
N2 N 0.1293 0.1124 0.7238 1
N3 N 0.1657 0.4345 0.6092 1
```

ΔE_f (raw) in eV per formula unit: -3.38
Total magnetization in μB/f.u.: 0.0
Calculated volume in Å³ per cell: 462



Copy entry 7 word for word.
VASP calculation (GGA-PBE) on crystalline PmSiP2N6 at its relaxed geometry.

The structure in CIF format:
```
data_PmSiP2N6
_chemical_formula_sum 'Pm4 Si4 P8 N24'
_cell_length_a 10.0283
_cell_length_b 9.8268
_cell_length_c 5.6721
_cell_angle_alpha 90.00
_cell_angle_beta 115.35
_cell_angle_gamma 90.00
_space_group_name_H-M_alt 'C 1 2/c 1'
_space_group_IT_number 15
loop_
_space_group_symop_operation_xyz
'x,y,z'
'-x,-y,-z'
'-x,y,-z+1/2'
'x,-y,z+1/2'
'x+1/2,y+1/2,z'
'-x+1/2,-y+1/2,-z'
'-x+1/2,y+1/2,-z+1/2'
'x+1/2,-y+1/2,z+1/2'
loop_
_atom_site_label
_atom_site_type_symbol
_atom_site_fract_x
_atom_site_fract_y
_atom_site_fract_z
_atom_site_occupancy
Pm1 Pm 0.0000 0.1292 0.2500 1
Si1 Si 0.0000 0.2278 0.7500 1
P1 P 0.2047 0.4247 0.1713 1
N1 N 0.0902 0.3015 0.0454 1
N2 N 0.1192 0.1117 0.7104 1
N3 N 0.1913 0.4605 0.4478 1
```

ΔE_f (raw) in eV per formula unit: -6.32
Total magnetization in μB/f.u.: 0.0
Calculated volume in Å³ per cell: 505



Look up the total magnetization of the eighth one.
0.0 μB/f.u.



Look up the total magnetization of the fourth one.
0.0 μB/f.u.